# 1
# LaTb2Tm3Se6

A relaxed LaTb2Tm3Se6 crystal (PBE-GGA, Alexandria via LeMat-Bulk).

Cell and atoms, written as POSCAR:
```
LaTb2Tm3Se6
1.0
3.5106 -6.1137 0.0000
3.5106 6.1137 0.0000
-2.3581 0.0000 6.7741
La Tb Tm Se
1 2 3 6
Cartesian
0.0000 0.0000 0.0000
3.5106 2.0423 0.0000
3.5106 -2.0423 0.0000
2.3315 4.1370 3.3870
2.3315 0.0000 3.3870
2.3315 -4.1370 3.3870
1.2007 2.0971 1.7945
0.0558 0.0000 5.0127
1.2007 -2.0971 1.7945
3.4624 2.0971 4.9796
4.6072 0.0000 1.7614
3.4624 -2.0971 4.9796
```

Output
For the total magnetic moment, the calculation gives 0.0 μB per formula unit. The total energy comes out at -5.80 eV per atom.

---

# 2
# LaTbTm2Se6

A relaxed LaTbTm2Se6 crystal (PBE-GGA, Alexandria via LeMat-Bulk).

Cell and atoms, written as POSCAR:
```
LaTbTm2Se6
1.0
3.6424 2.1030 6.4450
-3.6424 2.1030 6.4450
0.0000 -4.2059 6.4450
La Tb Tm Se
1 1 2 6
Cartesian
0.0000 0.0000 0.0000
0.0000 0.0000 9.8186
0.0000 0.0000 3.9123
0.0000 0.0000 13.6592
-1.1807 -2.3081 8.5636
-2.1506 0.2176 11.7855
-1.4085 2.1766 8.5636
0.8869 -1.9713 11.7855
2.5892 0.1315 8.5636
1.2637 1.7537 11.7855
```

Output
For the total magnetic moment, the calculation gives 0.0 μB per formula unit. The total energy comes out at -5.82 eV per atom.

---

# 3
# La2TbTmSe5

A relaxed La2TbTmSe5 crystal (PBE-GGA, Alexandria via LeMat-Bulk).

Cell and atoms, written as POSCAR:
```
La2TbTmSe5
1.0
5.0758 0.0000 0.0000
0.0000 5.0758 0.0000
0.0000 0.0000 10.7579
La Tb Tm Se
2 1 1 5
Cartesian
0.0000 0.0000 2.1648
0.0000 0.0000 8.5931
2.5379 2.5379 5.3789
2.5379 2.5379 0.0000
0.0000 0.0000 5.3789
0.0000 2.5379 0.0000
2.5379 0.0000 0.0000
2.5379 2.5379 2.7256
2.5379 2.5379 8.0323
```

Output
For the total magnetic moment, the calculation gives 0.4 μB per formula unit. The total energy comes out at -5.50 eV per atom.

---

# 4
# La4TbTm3Se8

A relaxed La4TbTm3Se8 crystal (PBE-GGA, Alexandria via LeMat-Bulk).

Cell and atoms, written as POSCAR:
```
La4TbTm3Se8
1.0
4.1214 2.3795 6.9937
-4.1214 2.3795 6.9937
0.0000 -4.7590 6.9937
La Tb Tm Se
4 1 3 8
Cartesian
0.0000 0.0000 0.0000
-2.0607 -1.1898 6.9937
-2.0607 1.1898 13.9875
0.0000 2.3795 6.9937
0.0000 0.0000 10.4906
-4.1214 0.0000 10.4906
-2.0607 1.1898 3.4969
2.0607 1.1898 3.4969
-2.0845 -1.2035 12.0781
0.0000 0.0000 5.0676
0.0000 -2.4070 8.9031
-2.0845 1.2035 8.9031
2.0845 -1.2035 12.0781
0.0000 2.4070 12.0781
0.0000 0.0000 15.9136
2.0845 1.2035 8.9031
```

Output
For the total magnetic moment, the calculation gives 0.0 μB per formula unit. The total energy comes out at -5.95 eV per atom.

---

- Among the records above, which one has the highest total magnetic moment?
  La2TbTmSe5